No. 1
Entry from the Alexandria database: CoNiSe2 at its PBEsol-relaxed geometry (meta-GGA SCAN).

Geometry as POSCAR:
```
CoNiSe2
1.0
3.612 0.000 0.000
-1.806 3.128 0.000
0.000 0.000 5.082
Ni Co Se
1 1 2
Cartesian
0.000 0.000 0.000 Ni
0.000 0.000 2.541 Co
1.806 1.043 3.747 Se
0.000 2.085 1.335 Se
```

excess energy over the best structure of this formula in the dataset	0.0	meV/atom

***

No. 2
Entry from the Alexandria database: CoNiSe2 at its PBEsol-relaxed geometry (meta-GGA SCAN).

Geometry as POSCAR:
```
CoNiSe2
1.0
3.607 0.000 0.045
0.000 3.607 0.000
-0.068 0.000 5.292
Ni Co Se
1 1 2
Cartesian
0.409 1.803 3.313 Ni
2.212 0.000 3.335 Co
0.391 0.000 4.766 Se
2.230 1.803 1.883 Se
```

excess energy over the best structure of this formula in the dataset	1.2	meV/atom

***

No. 3
Entry from the Alexandria database: CoNiSe2 at its PBEsol-relaxed geometry (meta-GGA SCAN).

Geometry as POSCAR:
```
CoNiSe2
1.0
3.181 0.000 0.000
0.000 3.181 0.000
0.000 0.000 6.164
Ni Co Se
1 1 2
Cartesian
1.590 1.590 4.565 Ni
0.000 0.000 3.150 Co
0.000 0.000 5.446 Se
1.590 1.590 2.249 Se
```

excess energy over the best structure of this formula in the dataset	99.9	meV/atom

***

No. 4
Entry from the Alexandria database: CoNiSe2 at its PBEsol-relaxed geometry (meta-GGA SCAN).

Geometry as POSCAR:
```
CoNiSe2
1.0
3.130 0.000 0.000
0.000 3.386 0.000
-1.565 -1.693 5.884
Ni Co Se
1 1 2
Cartesian
0.000 1.693 3.244 Ni
0.000 0.000 5.093 Co
0.000 0.000 0.220 Se
1.565 0.000 3.211 Se
```

excess energy over the best structure of this formula in the dataset	390.0	meV/atom

***

No. 5
Entry from the Alexandria database: CoNi2Se4 at its PBEsol-relaxed geometry (meta-GGA SCAN).

Geometry as POSCAR:
```
CoNi2Se4
1.0
3.589 0.000 0.000
0.000 6.092 0.009
-1.794 -2.965 5.058
Ni Co Se
2 1 4
Cartesian
0.000 6.069 0.028 Ni
0.000 0.155 2.628 Ni
1.794 2.968 2.439 Co
1.794 1.078 3.827 Se
0.000 2.116 1.225 Se
1.794 5.120 1.376 Se
0.000 -2.032 3.682 Se
```

electronic total energy	-132.16	eV per cell

***

No. 6
Entry from the Alexandria database: CoNiSe2 at its PBEsol-relaxed geometry (meta-GGA SCAN).

Geometry as POSCAR:
```
CoNiSe2
1.0
3.353 0.000 0.000
1.677 2.904 0.000
1.677 0.968 7.140
Ni Co Se
1 1 2
Cartesian
3.353 1.936 3.570 Ni
0.000 0.000 0.000 Co
5.030 2.904 2.223 Se
1.677 0.968 4.916 Se
```

excess energy over the best structure of this formula in the dataset	275.6	meV/atom

***

No. 7
Entry from the Alexandria database: Co6SiNi at its PBEsol-relaxed geometry (meta-GGA SCAN).

Geometry as POSCAR:
```
Co6SiNi
1.0
-4.248 -2.987 -2.990
4.544 -3.695 1.265
-4.295 -2.379 8.480
Co Ni Si
24 4 4
Cartesian
-0.863 -5.298 6.548 Co
-4.628 -7.012 5.590 Co
-2.587 -3.831 7.517 Co
-5.267 -4.944 4.416 Co
-4.777 -3.654 6.457 Co
-2.438 -7.188 6.650 Co
-1.999 -4.530 3.378 Co
-1.507 -3.248 5.401 Co
-3.713 -3.070 4.334 Co
1.269 -4.117 2.339 Co
-2.491 -5.813 1.354 Co
-0.434 -2.653 3.283 Co
-3.136 -3.763 0.207 Co
-2.639 -2.476 2.215 Co
-0.286 -5.990 2.421 Co
0.148 -3.341 -0.862 Co
0.630 -2.049 1.165 Co
-1.560 -1.872 0.105 Co
-2.147 -1.190 4.240 Co
-1.359 -6.585 4.540 Co
-3.564 -6.407 3.473 Co
0.000 0.000 0.000 Co
0.779 -5.406 0.299 Co
-1.411 -5.230 -0.761 Co
0.216 -4.709 4.449 Ni
-4.214 -4.352 2.306 Ni
-3.224 -1.786 6.366 Ni
-1.071 -0.593 2.114 Ni
2.366 -3.519 0.211 Si
-2.070 -3.162 -1.936 Si
-3.085 -5.132 5.521 Si
-0.913 -3.929 1.234 Si
```

electronic total energy	-522.07	eV per cell

***

No. 8
Entry from the Alexandria database: CoSiNi6 at its PBEsol-relaxed geometry (meta-GGA SCAN).

Geometry as POSCAR:
```
CoSiNi6
1.0
5.996 0.001 0.000
-2.001 5.652 0.000
0.000 0.000 9.796
Co Ni Si
4 24 4
Cartesian
0.011 4.230 0.000 Co
3.983 1.423 0.000 Co
1.997 2.826 7.369 Co
1.997 2.826 2.427 Co
0.000 4.238 7.346 Ni
4.000 3.538 8.565 Ni
-0.006 2.115 8.565 Ni
3.995 1.415 7.346 Ni
1.995 0.701 8.565 Ni
1.999 4.952 8.565 Ni
1.997 2.826 4.898 Ni
-0.004 2.114 6.117 Ni
1.994 0.702 6.117 Ni
0.000 4.238 2.450 Ni
3.999 3.539 3.679 Ni
-0.004 2.114 3.679 Ni
3.995 1.415 2.450 Ni
1.994 0.702 3.679 Ni
2.000 4.951 3.679 Ni
1.997 2.826 0.000 Ni
-0.006 2.115 1.230 Ni
1.995 0.701 1.230 Ni
0.000 0.000 4.898 Ni
2.000 4.951 6.117 Ni
3.999 3.539 6.117 Ni
0.000 0.000 0.000 Ni
1.999 4.952 1.230 Ni
4.000 3.538 1.230 Ni
0.017 4.226 4.898 Si
3.978 1.427 4.898 Si
0.000 0.000 7.354 Si
0.000 0.000 2.442 Si
```

electronic total energy	-504.11	eV per cell

***

No. 9
Entry from the Alexandria database: SmCo3Ni2 at its PBEsol-relaxed geometry (meta-GGA SCAN).

Geometry as POSCAR:
```
SmCo3Ni2
1.0
3.963 0.000 0.000
0.000 4.820 0.000
0.000 -2.410 4.174
Ni Co Sm
2 3 1
Cartesian
0.000 2.410 1.391 Ni
0.000 0.000 2.783 Ni
1.981 -1.205 2.087 Co
1.981 1.205 2.087 Co
1.981 2.410 0.000 Co
0.000 0.000 0.000 Sm
```

E_form	-109	meV/atom

***

No. 10
Entry from the Alexandria database: TiCoNiSn at its PBEsol-relaxed geometry (meta-GGA SCAN).

Geometry as POSCAR:
```
TiCoNiSn
1.0
-1.609 0.536 3.897
-2.803 -2.796 1.545
1.130 -2.626 3.145
Ni Co Sn Ti
1 1 1 1
Cartesian
-0.820 -1.221 2.147 Ni
-2.461 -3.664 6.440 Co
0.000 0.000 0.000 Sn
-1.641 -2.443 4.294 Ti
```

E_form	-320	meV/atom

***

No. 11
Entry from the Alexandria database: SrCoNi2 at its PBEsol-relaxed geometry (meta-GGA SCAN).

Geometry as POSCAR:
```
SrCoNi2
1.0
3.018 0.000 0.000
0.000 3.018 0.000
0.000 0.000 6.739
Co Ni Sr
1 2 1
Cartesian
1.509 1.509 5.608 Co
0.000 0.000 6.692 Ni
1.509 1.509 1.202 Ni
0.000 0.000 3.346 Sr
```

E_form	484	meV/atom

***

No. 12
Entry from the Alexandria database: SrCo2Ni at its PBEsol-relaxed geometry (meta-GGA SCAN).

Geometry as POSCAR:
```
SrCo2Ni
1.0
2.941 0.000 0.000
0.000 3.029 0.000
0.000 0.000 6.869
Sr Co Ni
1 2 1
Cartesian
1.471 1.515 5.139 Sr
0.000 0.000 0.569 Co
1.471 1.515 1.649 Co
0.000 0.000 2.947 Ni
```

E_form	453	meV/atom